1.
Computed, not measured: a relaxed structure of YSc2SiW at the PBE level of DFT.

Unit cell a=4.9934 b=4.9934 c=5.3453 alpha=90.00 beta=90.00 gamma=90.00
Closest atoms and distances in Å follow each position.
Fractional positions:
Y1 0.0000 0.0000 0.0000  2 W 2.67
Sc1 0.0000 0.5000 0.5000  2 W 2.50
Sc2 0.5000 0.0000 0.5000  2 W 2.50
Si1 0.5000 0.5000 0.0000  4 Y 3.53, 8 Sc 3.66
W1 0.0000 0.0000 0.5000  4 Sc 2.50, 2 Y 2.67

crystal system: tetragonal
symmetry: P4/mmm (123)

2.
Computed, not measured: a relaxed structure of YScSi2 at the PBE level of DFT.

Unit cell a=4.5636 b=4.8341 c=7.4573 alpha=90.00 beta=90.00 gamma=90.00
Closest atoms and distances in Å follow each position.
Fractional positions:
Y1 0.0000 0.0000 0.0000  5 Si 3.02-3.12, 4 Y 3.32
Y2 0.5000 0.5000 0.0000  5 Si 3.02-3.12, 4 Y 3.32
Sc1 0.0000 0.5000 0.6384  5 Si 2.79-2.98
Sc2 0.5000 0.0000 0.6384  5 Si 2.79-2.98
Si1 0.0000 0.0000 0.4054  4 Si 2.51-2.64
Si2 0.0000 0.5000 0.2645  4 Si 2.51-2.64, 1 Sc 2.79
Si3 0.5000 0.0000 0.2645  4 Si 2.51-2.64, 1 Sc 2.79
Si4 0.5000 0.5000 0.4054  4 Si 2.51-2.64

crystal system: orthorhombic
symmetry: Cmm2 (35)
distance to the lowest polymorph of the same formula: 0.567 eV/atom

3.
Computed, not measured: a relaxed structure of Y2ScSi at the PBE level of DFT.

Unit cell a=7.1986 b=7.1986 c=7.1986 alpha=90.00 beta=90.00 gamma=90.00
Closest atoms and distances in Å follow each position.
Fractional positions:
Y1 0.0000 0.0000 0.0000  4 Sc 3.12, 4 Y 3.12
Y2 0.0000 0.5000 0.5000  4 Sc 3.12, 4 Y 3.12
Y3 0.2500 0.2500 0.2500  4 Si 3.12, 4 Y 3.12
Y4 0.2500 0.7500 0.7500  4 Si 3.12, 4 Y 3.12
Y5 0.5000 0.0000 0.5000  4 Sc 3.12, 4 Y 3.12
Y6 0.5000 0.5000 0.0000  4 Sc 3.12, 4 Y 3.12
Y7 0.7500 0.2500 0.7500  4 Si 3.12, 4 Y 3.12
Y8 0.7500 0.7500 0.2500  4 Si 3.12, 4 Y 3.12
Sc1 0.2500 0.2500 0.7500  4 Si 3.12, 4 Y 3.12
Sc2 0.2500 0.7500 0.2500  4 Si 3.12, 4 Y 3.12
Sc3 0.7500 0.2500 0.2500  4 Si 3.12, 4 Y 3.12
Sc4 0.7500 0.7500 0.7500  4 Si 3.12, 4 Y 3.12
Si1 0.0000 0.0000 0.5000  4 Sc 3.12, 4 Y 3.12
Si2 0.0000 0.5000 0.0000  4 Sc 3.12, 4 Y 3.12
Si3 0.5000 0.0000 0.0000  4 Sc 3.12, 4 Y 3.12
Si4 0.5000 0.5000 0.5000  4 Sc 3.12, 4 Y 3.12

crystal system: cubic
symmetry: F-43m (216)

4.
Computed, not measured: a relaxed structure of YSc4Si at the PBE level of DFT.

Unit cell a=5.9207 b=5.9207 c=5.9207 alpha=60.00 beta=60.00 gamma=60.00
Closest atoms and distances in Å follow each position.
Fractional positions:
Y1 0.0000 0.0000 0.0000  12 Sc 3.47, 4 Si 3.63
Sc1 0.1235 0.6255 0.6255  6 Sc 2.95-2.97
Sc2 0.6255 0.1235 0.6255  6 Sc 2.95-2.97
Sc3 0.6255 0.6255 0.1235  6 Sc 2.95-2.97
Sc4 0.6255 0.6255 0.6255  6 Sc 2.95-2.97
Si1 0.2500 0.2500 0.2500  12 Sc 3.47, 4 Y 3.63

crystal system: cubic
symmetry: F-43m (216)

5.
Computed, not measured: a relaxed structure of Y2ScSi2 at the PBE level of DFT.

Unit cell a=4.2067 b=5.9838 c=8.8948 alpha=90.00 beta=90.00 gamma=90.00
Closest atoms and distances in Å follow each position.
Fractional positions:
Y1 0.0000 0.0000 0.2018  6 Si 3.03-3.18, 2 Sc 3.38
Y2 0.0000 0.0000 0.7982  6 Si 3.03-3.18, 2 Sc 3.38
Y3 0.5000 0.5000 0.2982  6 Si 3.03-3.18, 2 Sc 3.38
Y4 0.5000 0.5000 0.7018  6 Si 3.03-3.18, 2 Sc 3.38
Sc1 0.0000 0.5000 0.0000  4 Si 2.74
Sc2 0.5000 0.0000 0.5000  4 Si 2.74
Si1 0.0000 0.2924 0.5000  1 Si 2.48, 2 Sc 2.74
Si2 0.0000 0.7076 0.5000  1 Si 2.48, 2 Sc 2.74
Si3 0.5000 0.2076 0.0000  1 Si 2.48, 2 Sc 2.74
Si4 0.5000 0.7924 0.0000  1 Si 2.48, 2 Sc 2.74

crystal system: orthorhombic
symmetry: Immm (71)
distance to the lowest polymorph of the same formula: 0.052 eV/atom

6.
Computed, not measured: a relaxed structure of YSc2Si2 at the PBE level of DFT.

Unit cell a=7.3601 b=7.3601 c=3.8166 alpha=90.00 beta=90.00 gamma=90.00
Closest atoms and distances in Å follow each position.
Fractional positions:
Y1 0.0000 0.0000 0.0000  4 Si 2.95
Y2 0.5000 0.5000 0.0000  4 Si 2.95
Sc1 0.1740 0.3260 0.5000  6 Si 2.89-2.90
Sc2 0.3260 0.8260 0.5000  6 Si 2.89-2.90
Sc3 0.6740 0.1740 0.5000  6 Si 2.89-2.90
Sc4 0.8260 0.6740 0.5000  6 Si 2.89-2.90
Si1 0.1173 0.6173 0.0000  1 Si 2.44
Si2 0.3827 0.1173 0.0000  1 Si 2.44
Si3 0.6173 0.8827 0.0000  1 Si 2.44
Si4 0.8827 0.3827 0.0000  1 Si 2.44

crystal system: tetragonal
symmetry: P4/mbm (127)
distance to the lowest polymorph of the same formula: 0.005 eV/atom

7.
Computed, not measured: a relaxed structure of YSc2Si2 at the PBE level of DFT.

Unit cell a=8.1039 b=8.1039 c=3.0313 alpha=90.00 beta=90.00 gamma=90.00
Closest atoms and distances in Å follow each position.
Fractional positions:
Y1 0.0000 0.0000 0.0000  2 Y 3.03, 4 Sc 3.21, 8 Si 3.36
Y2 0.5000 0.5000 0.0000  2 Y 3.03, 4 Sc 3.21, 8 Si 3.36
Sc1 0.1242 0.3758 0.0000  6 Si 2.77-2.88, 3 Sc 2.85-3.03
Sc2 0.3758 0.8758 0.0000  6 Si 2.77-2.88, 3 Sc 2.85-3.03
Sc3 0.6242 0.1242 0.0000  6 Si 2.77-2.88, 3 Sc 2.85-3.03
Sc4 0.8758 0.6242 0.0000  6 Si 2.77-2.88, 3 Sc 2.85-3.03
Si1 0.1738 0.6738 0.5000  6 Sc 2.77-2.88, 2 Si 3.03
Si2 0.3262 0.1738 0.5000  6 Sc 2.77-2.88, 2 Si 3.03
Si3 0.6738 0.8262 0.5000  6 Sc 2.77-2.88, 2 Si 3.03
Si4 0.8262 0.3262 0.5000  6 Sc 2.77-2.88, 2 Si 3.03

crystal system: tetragonal
symmetry: P4/mbm (127)
distance to the lowest polymorph of the same formula: 0.201 eV/atom

8.
Computed, not measured: a relaxed structure of Y2ScSi at the PBE level of DFT.

Unit cell a=4.2863 b=4.1786 c=11.5328 alpha=90.00 beta=90.00 gamma=90.00
Closest atoms and distances in Å follow each position.
Fractional positions:
Y1 0.0000 0.0000 0.0000  4 Sc 3.14, 3 Si 3.23-3.29
Y2 0.0000 0.5000 0.5000  4 Sc 3.14, 3 Si 3.23-3.29
Y3 0.5000 0.0000 0.2930  4 Si 3.11, 3 Sc 3.20-3.35
Y4 0.5000 0.5000 0.7930  4 Si 3.11, 3 Sc 3.20-3.35
Sc1 0.5000 0.0000 0.5832  2 Si 2.66
Sc2 0.5000 0.5000 0.0832  2 Si 2.66
Si1 0.0000 0.0000 0.7203  2 Sc 2.66
Si2 0.0000 0.5000 0.2203  2 Sc 2.66

crystal system: orthorhombic
symmetry: Amm2 (38)

9.
Computed, not measured: a relaxed structure of Y2ScSi at the PBE level of DFT.

Unit cell a=3.5650 b=3.5650 c=29.0418 alpha=90.00 beta=90.00 gamma=120.00
Closest atoms and distances in Å follow each position.
Fractional positions:
Y1 0.0000 0.0000 0.0000  3 Si 2.87
Y2 0.0000 0.0000 0.2285  3 Sc 3.53, 9 Y 3.57-3.67
Y3 0.3333 0.6667 0.6667  3 Si 2.87
Y4 0.3333 0.6667 0.8952  3 Sc 3.53, 9 Y 3.57-3.67
Y5 0.6667 0.3333 0.3333  3 Si 2.87
Y6 0.6667 0.3333 0.5619  3 Sc 3.53, 9 Y 3.57-3.67
Sc1 0.0000 0.0000 0.4630  3 Si 2.71
Sc2 0.3333 0.6667 0.1296  3 Si 2.71
Sc3 0.6667 0.3333 0.7963  3 Si 2.71
Si1 0.0000 0.0000 0.7354  3 Sc 2.71, 3 Y 2.87
Si2 0.3333 0.6667 0.4021  3 Sc 2.71, 3 Y 2.87
Si3 0.6667 0.3333 0.0688  3 Sc 2.71, 3 Y 2.87

crystal system: trigonal
symmetry: R3m (160)

10.
Computed, not measured: a relaxed structure of Y2ScSi at the PBE level of DFT.

Unit cell a=4.4280 b=4.4280 c=9.7067 alpha=90.00 beta=90.00 gamma=90.00
Closest atoms and distances in Å follow each position.
Fractional positions:
Y1 0.0000 0.5000 0.2500  4 Y 3.13, 4 Sc 3.28, 4 Si 3.28
Y2 0.0000 0.5000 0.7500  4 Y 3.13, 4 Sc 3.28, 4 Si 3.28
Y3 0.5000 0.0000 0.2500  4 Y 3.13, 4 Sc 3.28, 4 Si 3.28
Y4 0.5000 0.0000 0.7500  4 Y 3.13, 4 Sc 3.28, 4 Si 3.28
Sc1 0.0000 0.0000 0.0000  4 Si 3.13, 8 Y 3.28
Sc2 0.5000 0.5000 0.5000  4 Si 3.13, 8 Y 3.28
Si1 0.0000 0.0000 0.5000  4 Sc 3.13, 8 Y 3.28
Si2 0.5000 0.5000 0.0000  4 Sc 3.13, 8 Y 3.28

crystal system: tetragonal
symmetry: I4/mmm (139)

11.
Computed, not measured: a relaxed structure of YSc3Si at the PBE level of DFT.

Unit cell a=5.1260 b=5.1260 c=5.1260 alpha=90.00 beta=90.00 gamma=90.00
Closest atoms and distances in Å follow each position.
Fractional positions:
Y1 0.0000 0.0000 0.0000  12 Sc 3.62
Sc1 0.0000 0.5000 0.5000  2 Si 2.56
Sc2 0.5000 0.0000 0.5000  2 Si 2.56
Sc3 0.5000 0.5000 0.0000  2 Si 2.56
Si1 0.5000 0.5000 0.5000  6 Sc 2.56

crystal system: cubic
symmetry: Pm-3m (221)
distance to the lowest polymorph of the same formula: 0.000 eV/atom

12.
Computed, not measured: a relaxed structure of Y5Sc5Si6 at the PBE level of DFT.

Unit cell a=6.0057 b=8.2084 c=8.2084 alpha=119.68 beta=90.00 gamma=90.00
Closest atoms and distances in Å follow each position.
Fractional positions:
Y1 0.0000 0.0000 0.0000  3 Si 2.87-2.90
Y2 0.0000 0.2504 0.4937  3 Si 2.86-2.93
Y3 0.0000 0.4937 0.2504  3 Si 2.86-2.93
Y4 0.5000 0.0035 0.2490  3 Si 2.87-2.96
Y5 0.5000 0.2490 0.0035  3 Si 2.87-2.96
Sc1 0.2506 0.5812 0.9138  6 Si 2.90-2.99, 2 Sc 3.00-3.01
Sc2 0.2506 0.9138 0.5812  6 Si 2.90-2.99, 2 Sc 3.00-3.01
Sc3 0.5000 0.4981 0.4981  3 Si 2.80-2.85
Sc4 0.7494 0.5812 0.9138  6 Si 2.90-2.99, 2 Sc 3.00-3.01
Sc5 0.7494 0.9138 0.5812  6 Si 2.90-2.99, 2 Sc 3.00-3.01
Si1 0.0000 0.2496 0.8497  3 Y 2.87-2.93, 4 Sc 2.92-2.95
Si2 0.0000 0.6482 0.6482  3 Y 2.86-2.90, 4 Sc 2.92
Si3 0.0000 0.8497 0.2496  3 Y 2.87-2.93, 4 Sc 2.92-2.95
Si4 0.5000 0.2556 0.6456  5 Sc 2.80-2.99, 2 Y 2.87-2.96
Si5 0.5000 0.6456 0.2556  5 Sc 2.80-2.99, 2 Y 2.87-2.96
Si6 0.5000 0.8440 0.8440  5 Sc 2.85-2.91, 2 Y 2.91

crystal system: orthorhombic
symmetry: Amm2 (38)

The calculation returns the following E_form (uncorrected) values, one per record and in order: 735 -246 -26 275 -728 -643 -448 -337 -141 -226 -38 -742 meV/atom.
The calculation returns the following calculated volume values, one per record and in order: 133.3 164.5 373.0 146.8 223.9 206.8 199.1 206.6 319.7 190.3 134.7 351.6 Å³ per cell.